# 1
Sr3Ir, relaxed, DFT GGA-PBE; uncorrected energy = -0.261 Ry/atom; symmetry = Imm2 (44)
1.0
-2.052 5.447 3.523
2.052 -5.447 3.523
2.052 5.447 -3.523
Sr Ir
3 1
Cartesian
0.000 0.000 0.000
2.052 3.565 -0.197
0.000 1.881 3.326
2.052 0.000 2.103

***

# 2
SrOsSe2, relaxed, DFT GGA-PBE; uncorrected energy = -0.373 Ry/atom; symmetry = Cmmm (65); E above lowest polymorph = 0.5468 eV per atom
1.0
2.017 -3.531 0.000
2.017 3.531 0.000
0.000 0.000 7.231
Sr Os Se
1 1 2
Cartesian
0.000 0.000 0.000
0.000 0.000 3.615
2.017 0.000 2.131
2.017 0.000 5.100

***

Number 1 is which compound?
Sr3Ir

***

What did the first record say?
Sr3Ir, relaxed, DFT GGA-PBE; uncorrected energy = -0.261 Ry/atom; symmetry = Imm2 (44)
1.0
-2.052 5.447 3.523
2.052 -5.447 3.523
2.052 5.447 -3.523
Sr Ir
3 1
Cartesian
0.000 0.000 0.000
2.052 3.565 -0.197
0.000 1.881 3.326
2.052 0.000 2.103

***

Please write out number 1 again, unchanged.
Sr3Ir, relaxed, DFT GGA-PBE; uncorrected energy = -0.261 Ry/atom; symmetry = Imm2 (44)
1.0
-2.052 5.447 3.523
2.052 -5.447 3.523
2.052 5.447 -3.523
Sr Ir
3 1
Cartesian
0.000 0.000 0.000
2.052 3.565 -0.197
0.000 1.881 3.326
2.052 0.000 2.103

***

What did the first record say?
Sr3Ir, relaxed, DFT GGA-PBE; uncorrected energy = -0.261 Ry/atom; symmetry = Imm2 (44)
1.0
-2.052 5.447 3.523
2.052 -5.447 3.523
2.052 5.447 -3.523
Sr Ir
3 1
Cartesian
0.000 0.000 0.000
2.052 3.565 -0.197
0.000 1.881 3.326
2.052 0.000 2.103